{"formula": "Cu2ReSe", "functional": "PBE", "state": "optimized geometry", "lattice": [[-1.827, -3.280, -2.381], [1.317, -1.768, 1.425], [-4.543, 0.667, 2.567]], "species": ["Cu", "Cu", "Se", "Re"], "fractional_positions": [[0.000, 0.946, 0.025], [0.500, 0.070, 0.265], [0.500, 0.806, 0.731], [0.000, 0.678, 0.479]], "final_energy_ev_per_cell": -22.48, "formation_energy_uncorrected_mev_per_atom": 412, "sg": "No. 6"}

---

{"formula": "Na2DyUS6", "functional": "PBE", "state": "optimized geometry", "lattice": [[-1.776, 4.854, -4.585], [-5.364, 2.260, 4.471], [6.129, 6.451, 4.094]], "species": ["Dy", "Dy", "Na", "Na", "Na", "Na", "S", "S", "S", "S", "S", "S", "S", "S", "S", "S", "S", "S", "U", "U"], "fractional_positions": [[0.000, 0.500, 0.500], [0.500, 0.000, 0.000], [0.527, 0.574, 0.756], [0.473, 0.426, 0.244], [0.027, 0.926, 0.256], [0.973, 0.074, 0.744], [0.872, 0.537, 0.242], [0.190, 0.215, 0.069], [0.212, 0.198, 0.437], [0.128, 0.463, 0.758], [0.810, 0.785, 0.931], [0.628, 0.037, 0.258], [0.788, 0.802, 0.563], [0.372, 0.963, 0.742], [0.690, 0.285, 0.569], [0.712, 0.302, 0.937], [0.310, 0.715, 0.431], [0.288, 0.698, 0.063], [0.500, 0.000, 0.500], [0.000, 0.500, 0.000]], "final_energy_ev_per_cell": -110.95, "formation_energy_uncorrected_mev_per_atom": -1218, "sg": "No. 14"}

---

{"formula": "GePd4Pt", "functional": "PBE", "state": "optimized geometry", "lattice": [[-1.299, -3.872, 1.429], [0.907, -2.169, -5.055], [9.205, -0.052, 1.674]], "species": ["Pd", "Pd", "Pd", "Pd", "Pd", "Pd", "Pd", "Pd", "Ge", "Ge", "Pt", "Pt"], "fractional_positions": [[0.303, 0.115, 0.606], [0.697, 0.615, 0.394], [0.430, 0.853, 0.859], [0.086, 0.635, 0.172], [0.702, 0.107, 0.403], [0.914, 0.135, 0.828], [0.298, 0.607, 0.597], [0.570, 0.353, 0.141], [0.818, 0.839, 0.636], [0.182, 0.339, 0.364], [0.569, 0.884, 0.139], [0.431, 0.384, 0.861]], "formation_enthalpy_0k_ev_per_fu": 0.269, "final_energy_ev_per_cell": -62.32, "sg": "No. 36"}

---

{"formula": "PrGeS4", "functional": "PBE", "state": "optimized geometry", "lattice": [[5.790, -0.876, 0.000], [-3.936, 6.430, 0.000], [0.000, 0.000, 9.244]], "species": ["S", "S", "S", "S", "S", "S", "S", "S", "Pr", "Pr", "Ge", "Ge"], "fractional_positions": [[0.601, 0.749, 0.750], [0.399, 0.251, 0.250], [0.000, 0.318, 0.933], [0.000, 0.682, 0.067], [0.000, 0.682, 0.433], [0.397, 0.147, 0.750], [0.000, 0.318, 0.567], [0.603, 0.853, 0.250], [0.999, 0.633, 0.750], [0.001, 0.367, 0.250], [0.000, 0.878, 0.250], [0.000, 0.122, 0.750]], "final_energy_ev_per_cell": -61.95, "formation_energy_uncorrected_mev_per_atom": -845, "sg": "No. 11"}

---

{"formula": "NpZnNiSn", "functional": "PBE", "state": "optimized geometry", "lattice": [[4.725, 0.000, 0.000], [2.363, 4.092, 0.000], [2.363, 1.364, 3.858]], "species": ["Zn", "Np", "Ni", "Sn"], "fractional_positions": [[0.500, 0.500, 0.500], [0.750, 0.750, 0.750], [0.000, 0.000, 0.000], [0.250, 0.250, 0.250]], "formation_enthalpy_0k_ev_per_fu": -0.136, "final_energy_ev_per_cell": -24.13, "sg": "No. 216"}

---

{"formula": "HfPa2Co9", "functional": "PBE", "state": "optimized geometry", "lattice": [[4.801, 0.000, 0.000], [2.400, 4.158, 0.000], [2.400, 1.386, 8.186]], "species": ["Hf", "Co", "Co", "Co", "Co", "Co", "Co", "Co", "Co", "Co", "Pa", "Pa"], "fractional_positions": [[0.000, 0.000, 0.000], [0.333, 0.333, 0.001], [0.420, 0.919, 0.241], [0.420, 0.420, 0.241], [0.667, 0.667, 0.999], [0.919, 0.420, 0.241], [0.500, 0.500, 0.500], [0.580, 0.580, 0.759], [0.580, 0.081, 0.759], [0.081, 0.580, 0.759], [0.137, 0.137, 0.588], [0.863, 0.863, 0.412]], "formation_enthalpy_0k_ev_per_fu": -3.099, "final_energy_ev_per_cell": -96.00, "sg": "No. 166"}

---

{"formula": "SbP2SCl", "functional": "PBE", "state": "optimized geometry", "lattice": [[-2.374, -1.942, -4.196], [-2.396, -3.517, 2.984], [-3.791, 3.161, 0.681]], "species": ["S", "Cl", "P", "P", "Sb"], "fractional_positions": [[0.500, 0.500, 0.500], [0.000, 0.000, 0.500], [0.000, 0.500, 0.000], [0.500, 0.000, 0.000], [0.000, 0.000, 0.000]], "final_energy_ev_per_cell": -15.49, "formation_energy_uncorrected_mev_per_atom": 1086, "sg": "No. 123"}

---

{"formula": "Li3Sn6Rh", "functional": "PBE", "state": "optimized geometry", "lattice": [[-5.266, -3.299, -3.049], [0.139, -6.500, 1.166], [-3.998, -2.882, 4.397]], "species": ["Sn", "Sn", "Sn", "Sn", "Sn", "Sn", "Li", "Li", "Li", "Rh"], "fractional_positions": [[0.122, 0.702, 0.702], [0.322, 0.613, 0.142], [0.678, 0.858, 0.387], [0.678, 0.387, 0.858], [0.322, 0.142, 0.613], [0.878, 0.298, 0.298], [0.683, 0.876, 0.876], [0.000, 0.000, 0.000], [0.317, 0.124, 0.124], [0.500, 0.500, 0.500]], "formation_enthalpy_0k_ev_per_fu": -1.624, "final_energy_ev_per_cell": -38.73, "sg": "No. 12"}

---

{"formula": "CeZnGePt2", "functional": "PBE", "state": "optimized geometry", "lattice": [[-0.218, 2.040, 3.540], [-2.731, -2.499, 1.272], [5.706, -3.243, -0.144]], "species": ["Ge", "Pt", "Pt", "Zn", "Ce"], "fractional_positions": [[0.830, 0.830, 0.659], [0.702, 0.202, 0.404], [0.038, 0.038, 0.076], [0.192, 0.692, 0.383], [0.451, 0.451, 0.902]], "formation_enthalpy_0k_ev_per_fu": -3.834, "final_energy_ev_per_cell": -27.74, "sg": "No. 44"}

---

{"formula": "ScMnCoTc", "functional": "PBE", "state": "optimized geometry", "lattice": [[4.279, 0.000, 0.000], [2.140, 3.706, 0.000], [2.140, 1.235, 3.494]], "species": ["Sc", "Co", "Tc", "Mn"], "fractional_positions": [[0.000, 0.000, 0.000], [0.250, 0.250, 0.250], [0.500, 0.500, 0.500], [0.750, 0.750, 0.750]], "formation_enthalpy_0k_ev_per_fu": -0.014, "final_energy_ev_per_cell": -32.99, "sg": "No. 216"}

---

{"formula": "MnCoAs2Br", "functional": "PBE", "state": "optimized geometry", "lattice": [[4.486, 0.000, 0.000], [0.000, 4.486, 0.000], [0.000, 0.000, 5.301]], "species": ["As", "As", "Co", "Br", "Mn"], "fractional_positions": [[0.000, 0.500, 0.000], [0.500, 0.000, 0.000], [0.000, 0.000, 0.000], [0.000, 0.000, 0.500], [0.500, 0.500, 0.500]], "final_energy_ev_per_cell": -24.76, "formation_energy_uncorrected_mev_per_atom": 498, "sg": "No. 123"}

---

{"formula": "Ca2OsRu", "functional": "PBE", "state": "optimized geometry", "lattice": [[4.764, -0.004, 0.000], [0.014, 4.764, 0.000], [-2.389, -2.380, 3.365]], "species": ["Ca", "Ca", "Os", "Ru"], "fractional_positions": [[0.250, 0.750, 0.500], [0.000, 0.000, 0.000], [0.500, 0.500, 0.000], [0.750, 0.250, 0.500]], "formation_enthalpy_0k_ev_per_fu": 2.253, "final_energy_ev_per_cell": -22.26, "sg": "No. 119"}